1.
The following is a PBE calculation of a geometry-optimized CsNpUSe4 structure, from Alexandria.

The value obtained for the formation energy from raw total energies is -1120 meV per atom. The uncorrected energy is -93.7 eV/cell. For the density of states at the Fermi level, the calculation gives 24.4 states/eV per cell.

Cell: 8.987 8.987 8.987 Å, 120.36 119.24 90.35°
Element x y z (fractional)
Cs 0.377 0.127 0.250
Cs 0.623 0.873 0.750
Np 0.000 0.500 0.500
Np 0.500 0.500 0.000
U 0.000 0.000 0.500
U 0.000 0.500 0.000
Se 0.178 0.729 0.449
Se 0.220 0.271 0.949
Se 0.224 0.270 0.546
Se 0.224 0.678 0.954
Se 0.776 0.322 0.046
Se 0.776 0.730 0.454
Se 0.780 0.729 0.051
Se 0.822 0.271 0.551

2.
The following is a PBE calculation of a geometry-optimized TaBRu3 structure, from Alexandria.

The value obtained for the formation energy is -166 meV/atom. The uncorrected energy is -94.4 eV/cell. For the density of states at the Fermi level, the calculation gives 8.8 states/eV per cell.

Cell: 4.442 5.579 5.479 Å, 90.00 97.24 90.00°
Element x y z (fractional)
Ta 0.002 0.250 0.052
Ta 0.998 0.750 0.948
B 0.346 0.250 0.445
B 0.654 0.750 0.555
Ru 0.081 0.750 0.437
Ru 0.453 0.010 0.758
Ru 0.453 0.490 0.758
Ru 0.547 0.510 0.242
Ru 0.547 0.990 0.242
Ru 0.919 0.250 0.563